First-principles (GGA+U) data for a geometry-optimized Mn2P5O16 structure, as listed in the Alexandria database.

The total magnetic moment is 7.0 μB per formula unit. The calculation puts the total energy at -7.24 eV/atom.

It has space group P2/c (No. 13), with a = 5.004 Å, b = 6.714 Å, c = 19.156 Å, α = 90.00°, β = 90.05° and γ = 90.00°. The inequivalent atoms are Mn at (0.248, 0.177, 0.406), P at (0.241, 0.458, 0.131), P at (0.258, 0.127, 0.576), P at (0.500, 0.257, 0.250), O at (0.053, 0.420, 0.383), O at (0.074, 0.022, 0.113), O at (0.153, 0.214, 0.509), O at (0.281, 0.309, 0.633), O at (0.299, 0.409, 0.212), O at (0.351, 0.137, 0.303), O at (0.438, 0.355, 0.084) and O at (0.451, 0.055, 0.929).